Entry 1:
KAg2Te after structural relaxation, computed with GGA-PBE.

Lattice parameters (Å, degrees): 9.052 3.224 7.791 90.00 97.21 90.00
Space group Cm (No. 8)
Asymmetric unit:
K  0.000  0.000  0.000 [2 per cell]
Ag  0.000  0.500  0.524 [2 per cell]
Ag  0.233  0.000  0.691 [2 per cell]
Te  0.258  0.500  0.316 [2 per cell]

Output
The crystal system is monoclinic. For the raw total energy, the calculation gives -2.550 eV per atom. The value obtained for the formation energy without anion corrections is -0.06 eV per atom.

---

Entry 2:
K2AgTe after structural relaxation, computed with GGA-PBE.

Lattice parameters (Å, degrees): 3.959 3.959 9.060 90.00 90.00 90.00
Space group P4/mmm (No. 123)
Asymmetric unit:
K  0.000  0.000  0.241 [2 per cell]
Ag  0.500  0.500  0.500 [1 per cell]
Te  0.500  0.500  0.000 [1 per cell]

Output
The crystal system is tetragonal. For the raw total energy, the calculation gives -2.368 eV per atom. The value obtained for the formation energy without anion corrections is -0.32 eV per atom.